# 1
{
  "formula": "K3Al",
  "functional": "GGA-PBE",
  "state": "optimized geometry",
  "lattice": [[-2.250, -3.809, 6.144], [-1.669, -7.315, -1.016], [5.487, 5.167, -0.726]],
  "species": ["K", "K", "K", "Al"],
  "fractional_positions": [[0.299, 0.712, 0.586], [0.582, 0.500, 0.082], [0.874, 0.288, 0.586], [0.079, 0.000, 0.079]],
  "energy_ev_per_atom": -1.46,
  "formation_energy_mev_per_atom": 296,
  "density_kg_m3": 1224
}

---

# 2
{
  "formula": "K3Al",
  "functional": "GGA-PBE",
  "state": "optimized geometry",
  "lattice": [[4.315, 0.000, 0.000], [-2.157, 3.737, 0.000], [0.000, 0.000, 13.300]],
  "species": ["Al", "K", "K", "K"],
  "fractional_positions": [[0.000, 0.000, 0.000], [0.667, 0.333, 0.805], [0.667, 0.333, 0.195], [0.000, 0.000, 0.500]],
  "energy_ev_per_atom": -1.41,
  "formation_energy_mev_per_atom": 349,
  "density_kg_m3": 1117
}

---

# 3
{
  "formula": "KAl3",
  "functional": "GGA-PBE",
  "state": "optimized geometry",
  "lattice": [[-2.394, 5.432, 1.411], [-3.593, -4.903, 0.534], [5.989, -0.769, 0.881]],
  "species": ["Al", "Al", "Al", "K"],
  "fractional_positions": [[0.000, 0.000, 0.000], [0.500, 0.000, 0.500], [0.500, 0.500, 0.000], [0.000, 0.500, 0.500]],
  "energy_ev_per_atom": -2.62,
  "formation_energy_mev_per_atom": 463,
  "density_kg_m3": 2233
}

---

# 4
{
  "formula": "KAl2",
  "functional": "GGA-PBE",
  "state": "optimized geometry",
  "lattice": [[-2.366, 2.366, 8.030], [2.366, -2.366, 8.030], [2.366, 2.366, -8.030]],
  "species": ["Al", "Al", "Al", "Al", "K", "K"],
  "fractional_positions": [[0.834, 0.334, 0.500], [0.916, 0.916, 0.000], [0.666, 0.166, 0.500], [0.084, 0.084, 0.000], [0.250, 0.750, 0.500], [0.500, 0.500, 0.000]],
  "energy_ev_per_atom": -2.61,
  "formation_energy_mev_per_atom": 254,
  "density_kg_m3": 1719
}